The following is a DFT calculation (PBE) of a relaxed AlCrRe2 crystal. Values from VASP.

E_form, eV per atom: 0.002
Total energy, eV per cell: -38.25
Total magnetic moment, Bohr magnetons per cell: 1.34

```
&SYSTEM
  ibrav = 0, nat = 4, ntyp = 3
/
ATOMIC_SPECIES
Al 26.98 Al.upf
Cr 52.00 Cr.upf
Re 186.21 Re.upf
CELL_PARAMETERS angstrom
3.0759 0.0000 0.0000
0.0000 4.2119 0.0000
0.0000 0.0000 4.3554
ATOMIC_POSITIONS crystal
Al 0.0000 0.0000 0.0000
Cr 0.5000 0.0000 0.5000
Re 0.0000 0.5000 0.5000
Re 0.5000 0.5000 0.0000
```


The following is a DFT calculation (PBE) of a relaxed AlCrRe2 crystal. Values from VASP.

E_form, eV per atom: 0.028
Total energy, eV per cell: -38.15
Total magnetic moment, Bohr magnetons per cell: 0.00

```
&SYSTEM
  ibrav = 0, nat = 4, ntyp = 3
/
ATOMIC_SPECIES
Al 26.98 Al.upf
Cr 52.00 Cr.upf
Re 186.21 Re.upf
CELL_PARAMETERS angstrom
1.3797 0.7966 8.6130
-1.3797 0.7966 8.6130
0.0000 -1.5931 8.6130
ATOMIC_POSITIONS crystal
Al 0.0000 0.0000 0.0000
Cr 0.5000 0.5000 0.5000
Re 0.2468 0.2468 0.2468
Re 0.7532 0.7532 0.7532
```


The following is a DFT calculation (PBE) of a relaxed AlCrRe2 crystal. Values from VASP.

E_form, eV per atom: -0.123
Total energy, eV per cell: -38.76
Total magnetic moment, Bohr magnetons per cell: 0.00

```
&SYSTEM
  ibrav = 0, nat = 4, ntyp = 3
/
ATOMIC_SPECIES
Al 26.98 Al.upf
Cr 52.00 Cr.upf
Re 186.21 Re.upf
CELL_PARAMETERS angstrom
-1.5301 2.0985 4.3014
1.5301 -2.0985 4.3014
1.5301 2.0985 -4.3014
ATOMIC_POSITIONS crystal
Al 0.0000 0.0000 0.0000
Cr 0.2497 0.7497 0.5000
Re 0.4901 0.4901 0.0000
Re 0.7410 0.2410 0.5000
```


The following is a DFT calculation (PBE) of a relaxed AlCrRe4 crystal. Values from VASP.

E_form, eV per atom: 0.390
Total energy, eV per cell: -60.82
Total magnetic moment, Bohr magnetons per cell: 2.41

```
&SYSTEM
  ibrav = 0, nat = 6, ntyp = 3
/
ATOMIC_SPECIES
Al 26.98 Al.upf
Cr 52.00 Cr.upf
Re 186.21 Re.upf
CELL_PARAMETERS angstrom
0.0000 3.6435 3.6435
3.6435 0.0000 3.6435
3.6435 3.6435 0.0000
ATOMIC_POSITIONS crystal
Al 0.0000 0.0000 0.0000
Cr 0.7500 0.7500 0.7500
Re 0.3749 0.3749 0.3749
Re 0.3749 0.3749 0.8753
Re 0.3749 0.8753 0.3749
Re 0.8753 0.3749 0.3749
```


The following is a DFT calculation (PBE) of a relaxed AlCr3Re crystal. Values from VASP.

E_form, eV per atom: 1.357
Total energy, eV per cell: -38.27
Total magnetic moment, Bohr magnetons per cell: 7.75
Polymorph energy (0 for the lowest one), meV/atom: 0

```
&SYSTEM
  ibrav = 0, nat = 5, ntyp = 3
/
ATOMIC_SPECIES
Al 26.98 Al.upf
Cr 52.00 Cr.upf
Re 186.21 Re.upf
CELL_PARAMETERS angstrom
4.6390 0.0000 0.0000
0.0000 4.6390 0.0000
0.0000 0.0000 4.6390
ATOMIC_POSITIONS crystal
Al 0.0000 0.0000 0.0000
Cr 0.0000 0.5000 0.5000
Cr 0.5000 0.0000 0.5000
Cr 0.5000 0.5000 0.0000
Re 0.5000 0.5000 0.5000
```


The following is a DFT calculation (PBE) of a relaxed Al2CrRe crystal. Values from VASP.

E_form, eV per atom: -0.051
Total energy, eV per cell: -29.76
Total magnetic moment, Bohr magnetons per cell: 0.00
Polymorph energy (0 for the lowest one), meV/atom: 196

```
&SYSTEM
  ibrav = 0, nat = 4, ntyp = 3
/
ATOMIC_SPECIES
Al 26.98 Al.upf
Cr 52.00 Cr.upf
Re 186.21 Re.upf
CELL_PARAMETERS angstrom
2.6550 0.0000 0.0000
0.0000 4.1833 0.0000
-0.9415 0.0000 4.9910
ATOMIC_POSITIONS crystal
Al 0.2245 0.0000 0.2569
Al 0.7755 0.0000 0.7431
Cr 0.0000 0.5000 0.5000
Re 0.5000 0.5000 0.0000
```


The following is a DFT calculation (PBE) of a relaxed AlCrRe2 crystal. Values from VASP.

E_form, eV per atom: 0.647
Total energy, eV per cell: -71.35
Total magnetic moment, Bohr magnetons per cell: 0.00

```
&SYSTEM
  ibrav = 0, nat = 8, ntyp = 3
/
ATOMIC_SPECIES
Al 26.98 Al.upf
Cr 52.00 Cr.upf
Re 186.21 Re.upf
CELL_PARAMETERS angstrom
-3.5533 3.5533 2.5278
3.5533 -3.5533 2.5278
3.5533 3.5533 -2.5278
ATOMIC_POSITIONS crystal
Al 0.0000 0.0000 0.0000
Al 0.7500 0.2500 0.5000
Cr 0.2500 0.7500 0.5000
Cr 0.5000 0.5000 0.0000
Re 0.1815 0.6250 0.0565
Re 0.3750 0.4315 0.5565
Re 0.5685 0.1250 0.9435
Re 0.8750 0.8185 0.4435
```


The following is a DFT calculation (PBE) of a relaxed Al2CrRe crystal. Values from VASP.

E_form, eV per atom: -0.038
Total energy, eV per cell: -29.71
Total magnetic moment, Bohr magnetons per cell: 0.57
Polymorph energy (0 for the lowest one), meV/atom: 209

```
&SYSTEM
  ibrav = 0, nat = 4, ntyp = 3
/
ATOMIC_SPECIES
Al 26.98 Al.upf
Cr 52.00 Cr.upf
Re 186.21 Re.upf
CELL_PARAMETERS angstrom
2.6630 0.0000 0.0000
0.0000 4.3103 0.0000
-0.7270 0.0000 4.8534
ATOMIC_POSITIONS crystal
Al 0.0000 0.0000 0.0000
Al 0.1488 0.5000 0.7208
Cr 0.6800 0.5000 0.2242
Re 0.5066 0.0000 0.4882
```